(1)
This record from Alexandria via LeMat-Bulk describes crystalline Pu3Ga2Au9 at its relaxed geometry. The functional is PBE.

a b c (Å): 4.454 10.317 12.952
angles (deg): 90.00 90.00 90.00
Space group Immm (No. 71)
Unique sites:
Pu  0.000  0.000  0.000 x2
Pu  0.000  0.000  0.295 x4
Ga  0.000  0.183  0.500 x4
Au  0.000  0.292  0.139 x8
Au  0.000  0.369  0.353 x8
Au  0.000  0.500  0.000 x2

Computed properties:
E_form   -0.345 eV per atom
N(E_F)   45.68 states/eV/f.u.
Total energy   -166.74 eV/cell

(2)
This record from Alexandria via LeMat-Bulk describes crystalline Pu2Ga2Au at its relaxed geometry. The functional is PBE.

a b c (Å): 4.759 14.128 3.115
angles (deg): 90.00 90.00 90.00
Space group Cmmm (No. 65)
Unique sites:
Pu  0.000  0.115  0.000 x4
Ga  0.000  0.303  0.500 x4
Au  0.000  0.500  0.500 x2

Computed properties:
E_form   -0.361 eV per atom
N(E_F)   12.40 states/eV/f.u.
Total energy   -79.60 eV/cell

(3)
This record from Alexandria via LeMat-Bulk describes crystalline Pu2Ga3Au17 at its relaxed geometry. The functional is PBE.

a b c (Å): 10.447 11.581 8.092
angles (deg): 90.00 107.78 90.00
Space group C2/m (No. 12)
Unique sites:
Pu  0.134  0.000  0.430 x4
Ga  0.000  0.000  0.000 x2
Ga  0.250  0.250  0.500 x4
Au  0.000  0.218  0.000 x4
Au  0.000  0.500  0.500 x2
Au  0.067  0.214  0.674 x8
Au  0.108  0.382  0.257 x8
Au  0.178  0.000  0.831 x4
Au  0.203  0.500  0.811 x4
Au  0.250  0.250  0.000 x4

Computed properties:
E_form   -0.017 eV per atom
N(E_F)   29.37 states/eV/f.u.
Total energy   -187.66 eV/cell

(4)
This record from Alexandria via LeMat-Bulk describes crystalline PuGa2Au6 at its relaxed geometry. The functional is PBE.

a b c (Å): 10.216 6.402 5.551
angles (deg): 90.00 95.06 90.00
Space group C2/m (No. 12)
Unique sites:
Pu  0.000  0.000  0.000 x2
Ga  0.094  0.500  0.865 x4
Au  0.000  0.232  0.500 x4
Au  0.233  0.272  0.251 x8

Computed properties:
E_form   -0.225 eV per atom
N(E_F)   15.17 states/eV/f.u.
Total energy   -84.15 eV/cell

(5)
This record from Alexandria via LeMat-Bulk describes crystalline Pu3Ga9Au2 at its relaxed geometry. The functional is PBE.

a b c (Å): 4.383 9.716 12.829
angles (deg): 90.00 90.00 90.00
Space group Immm (No. 71)
Unique sites:
Pu  0.000  0.000  0.000 x2
Pu  0.000  0.000  0.304 x4
Ga  0.000  0.278  0.144 x8
Ga  0.000  0.370  0.340 x8
Ga  0.000  0.500  0.000 x2
Au  0.000  0.199  0.500 x4

Computed properties:
E_form   -0.360 eV per atom
N(E_F)   30.64 states/eV/f.u.
Total energy   -163.65 eV/cell

(6)
This record from Alexandria via LeMat-Bulk describes crystalline PuGa3Au at its relaxed geometry. The functional is PBE.

a b c (Å): 4.280 4.280 11.033
angles (deg): 90.00 90.00 90.00
Space group I4mm (No. 107)
Unique sites:
Pu  0.000  0.000  0.000 x2
Ga  0.000  0.000  0.589 x2
Ga  0.000  0.500  0.230 x4
Au  0.000  0.000  0.362 x2

Computed properties:
E_form   -0.374 eV per atom
N(E_F)   13.75 states/eV/f.u.
Total energy   -57.12 eV/cell

(7)
This record from Alexandria via LeMat-Bulk describes crystalline Pu2Ga2Au at its relaxed geometry. The functional is PBE.

a b c (Å): 10.359 4.751 8.985
angles (deg): 90.00 105.16 90.00
Space group C2/m (No. 12)
Unique sites:
Pu  0.047  0.000  0.356 x4
Pu  0.169  0.000  0.071 x4
Ga  0.016  0.500  0.862 x4
Ga  0.132  0.500  0.596 x4
Au  0.240  0.500  0.316 x4

Computed properties:
E_form   -0.375 eV per atom
N(E_F)   15.61 states/eV/f.u.
Total energy   -159.47 eV/cell

(8)
This record from Alexandria via LeMat-Bulk describes crystalline Pu3Ga3Au2 at its relaxed geometry. The functional is PBE.

a b c (Å): 4.627 10.470 14.583
angles (deg): 90.00 90.00 90.00
Space group Cmcm (No. 63)
Unique sites:
Pu  0.000  0.084  0.110 x8
Pu  0.000  0.339  0.250 x4
Ga  0.000  0.369  0.750 x4
Ga  0.000  0.389  0.040 x8
Au  0.000  0.209  0.602 x8

Computed properties:
E_form   -0.397 eV per atom
N(E_F)   30.29 states/eV/f.u.
Total energy   -247.23 eV/cell

(9)
This record from Alexandria via LeMat-Bulk describes crystalline Pu4Ga12Au at its relaxed geometry. The functional is PBE.

a b c (Å): 8.699 8.699 8.699
angles (deg): 90.00 90.00 90.00
Space group Im-3m (No. 229)
Unique sites:
Pu  0.250  0.250  0.250 x8
Ga  0.000  0.000  0.302 x12
Ga  0.000  0.250  0.500 x12
Au  0.000  0.000  0.000 x2

Computed properties:
E_form   -0.398 eV per atom
N(E_F)   32.72 states/eV/f.u.
Total energy   -207.38 eV/cell

(10)
This record from Alexandria via LeMat-Bulk describes crystalline Pu2Ga3Au5 at its relaxed geometry. The functional is PBE.

a b c (Å): 4.590 25.192 7.020
angles (deg): 90.00 90.00 90.00
Space group Cmc2_1 (No. 36)
Unique sites:
Pu  0.000  0.017  0.000 x4
Pu  0.000  0.326  0.993 x4
Ga  0.000  0.104  0.686 x4
Ga  0.000  0.272  0.505 x4
Ga  0.000  0.449  0.806 x4
Au  0.000  0.104  0.300 x4
Au  0.000  0.201  0.795 x4
Au  0.000  0.212  0.203 x4
Au  0.000  0.378  0.519 x4
Au  0.000  0.449  0.198 x4

Computed properties:
E_form   -0.389 eV per atom
N(E_F)   27.42 states/eV/f.u.
Total energy   -232.07 eV/cell

(11)
This record from Alexandria via LeMat-Bulk describes crystalline PuGaAu at its relaxed geometry. The functional is PBE.

a b c (Å): 6.702 6.702 6.702
angles (deg): 90.00 90.00 90.00
Space group F-43m (No. 216)
Unique sites:
Pu  0.000  0.000  0.000 x4
Ga  0.000  0.000  0.500 x4
Au  0.250  0.250  0.750 x4

Computed properties:
E_form   -0.218 eV per atom
N(E_F)   13.95 states/eV/f.u.
Total energy   -85.17 eV/cell

(12)
This record from Alexandria via LeMat-Bulk describes crystalline Pu2Ga6Au at its relaxed geometry. The functional is PBE.

a b c (Å): 6.0196 6.0196 5.5861
angles (deg): 90.00 90.00 120.00
Space group P-3m1 (No. 164)
Unique sites:
Pu  0.3333  0.6667  0.3263 x2
Ga  0.1806  0.3613  0.8241 x6
Au  0.0000  0.0000  0.5000 x1

Computed properties:
E_form   -0.365 eV per atom
N(E_F)   17.93 states/eV/f.u.
Total energy   -53.39 eV/cell

(13)
This record from Alexandria via LeMat-Bulk describes crystalline Pu3Ga7Au2 at its relaxed geometry. The functional is PBE.

a b c (Å): 5.5330 5.5330 26.6999
angles (deg): 90.00 90.00 120.00
Space group R-3m (No. 166, hexagonal axes)
Unique sites:
Pu  0.0000  0.0000  0.0000 x3
Pu  0.0000  0.0000  0.1445 x6
Ga  0.0000  0.0000  0.5000 x3
Ga  0.0114  0.5057  0.9157 x18
Au  0.0000  0.0000  0.3376 x6

Computed properties:
E_form   -0.375 eV per atom
N(E_F)   26.46 states/eV/f.u.
Total energy   -225.71 eV/cell

(14)
This record from Alexandria via LeMat-Bulk describes crystalline PuGa2Au6 at its relaxed geometry. The functional is PBE.

a b c (Å): 13.125 8.972 3.137
angles (deg): 90.00 103.81 90.00
Space group C2/m (No. 12)
Unique sites:
Pu  0.000  0.000  0.000 x2
Ga  0.142  0.500  0.146 x4
Au  0.000  0.335  0.500 x4
Au  0.181  0.158  0.681 x8

Computed properties:
E_form   -0.200 eV per atom
N(E_F)   12.68 states/eV/f.u.
Total energy   -83.70 eV/cell

(15)
This record from Alexandria via LeMat-Bulk describes crystalline Pu2Ga3Au at its relaxed geometry. The functional is PBE.

a b c (Å): 6.256 9.463 16.453
angles (deg): 90.00 90.00 90.00
Space group Fmmm (No. 69)
Unique sites:
Pu  0.243  0.000  0.000 x8
Pu  0.250  0.250  0.250 x8
Ga  0.000  0.000  0.335 x8
Ga  0.000  0.247  0.417 x16
Au  0.000  0.000  0.167 x8

Computed properties:
E_form   -0.431 eV per atom
N(E_F)   14.50 states/eV/f.u.
Total energy   -348.85 eV/cell

(16)
This record from Alexandria via LeMat-Bulk describes crystalline PuGaAu2 at its relaxed geometry. The functional is PBE.

a b c (Å): 3.285 3.285 7.580
angles (deg): 90.00 90.00 90.00
Space group P4/mmm (No. 123)
Unique sites:
Pu  0.000  0.000  0.000 x1
Ga  0.000  0.000  0.500 x1
Au  0.500  0.500  0.282 x2

Computed properties:
E_form   -0.299 eV per atom
N(E_F)   8.37 states/eV/f.u.
Total energy   -25.11 eV/cell

(17)
This record from Alexandria via LeMat-Bulk describes crystalline PuGa4Au4 at its relaxed geometry. The functional is PBE.

a b c (Å): 8.806 8.806 4.547
angles (deg): 90.00 90.00 90.00
Space group I4/m (No. 87)
Unique sites:
Pu  0.000  0.000  0.000 x2
Ga  0.124  0.214  0.500 x8
Au  0.076  0.352  0.000 x8

Computed properties:
E_form   -0.270 eV per atom
N(E_F)   14.69 states/eV/f.u.
Total energy   -83.95 eV/cell

(18)
This record from Alexandria via LeMat-Bulk describes crystalline PuGa3Au2 at its relaxed geometry. The functional is PBE.

a b c (Å): 15.797 4.606 7.488
angles (deg): 90.00 118.24 90.00
Space group C2/m (No. 12)
Unique sites:
Pu  0.130  0.000  0.130 x4
Ga  0.000  0.000  0.338 x4
Ga  0.179  0.500  0.473 x4
Ga  0.179  0.500  0.884 x4
Au  0.000  0.500  0.188 x4
Au  0.191  0.000  0.691 x4

Computed properties:
E_form   -0.367 eV per atom
N(E_F)   12.34 states/eV/f.u.
Total energy   -128.67 eV/cell

(19)
This record from Alexandria via LeMat-Bulk describes crystalline Pu5Ga4Au at its relaxed geometry. The functional is PBE.

a b c (Å): 3.895 3.895 14.651
angles (deg): 90.00 90.00 90.00
Space group P4/mmm (No. 123)
Unique sites:
Pu  0.000  0.000  0.000 x1
Pu  0.000  0.000  0.197 x2
Pu  0.000  0.000  0.397 x2
Ga  0.500  0.500  0.098 x2
Ga  0.500  0.500  0.296 x2
Au  0.500  0.500  0.500 x1

Computed properties:
E_form   -0.301 eV per atom
N(E_F)   33.19 states/eV/f.u.
Total energy   -90.05 eV/cell

(20)
This record from Alexandria via LeMat-Bulk describes crystalline Pu3Ga2Au at its relaxed geometry. The functional is PBE.

a b c (Å): 3.132 3.132 13.475
angles (deg): 90.00 90.00 90.00
Space group P4/mmm (No. 123)
Unique sites:
Pu  0.000  0.000  0.000 x1
Pu  0.000  0.000  0.330 x2
Ga  0.500  0.500  0.165 x2
Au  0.500  0.500  0.500 x1

Computed properties:
E_form   -0.323 eV per atom
N(E_F)   15.23 states/eV/f.u.
Total energy   -54.27 eV/cell

(21)
This record from Alexandria via LeMat-Bulk describes crystalline Pu2Ga6Au at its relaxed geometry. The functional is PBE.

a b c (Å): 4.803 4.803 8.376
angles (deg): 90.00 90.00 90.00
Space group P4/mmm (No. 123)
Unique sites:
Pu  0.000  0.000  0.248 x2
Ga  0.000  0.500  0.000 x2
Ga  0.000  0.500  0.500 x2
Ga  0.500  0.500  0.181 x2
Au  0.500  0.500  0.500 x1

Computed properties:
E_form   -0.125 eV per atom
N(E_F)   21.93 states/eV/f.u.
Total energy   -51.23 eV/cell